Computed, not measured: an optimized crystal structure of Ti3HgH at the GGA-PBE level of DFT.

The offset from the most stable computed form comes out at 1.77 eV/f.u. As for the final energy: -53.336 eV/cell.

It has space group P6_3/mmc (No. 194), with a = 4.6871 Å, b = 4.6871 Å, c = 8.0569 Å, α = 90.00°, β = 90.00° and γ = 120.00°. The inequivalent atoms are Ti at (0.0000, 0.0000, 0.2500), Ti at (0.3333, 0.6667, 0.0904), Hg at (0.3333, 0.6667, 0.7500) and H at (0.0000, 0.0000, 0.0000).

Computed, not measured: an optimized crystal structure of Ti3HgH at the GGA-PBE level of DFT.

The offset from the most stable computed form comes out at 1.24 eV/f.u. As for the final energy: -108.797 eV/cell.

It has space group I-4m2 (No. 119), with a = 5.5485 Å, b = 5.5485 Å, c = 10.0374 Å, α = 90.00°, β = 90.00° and γ = 90.00°. The inequivalent atoms are Ti at (0.0000, 0.0000, 0.1317), Ti at (0.0000, 0.2529, 0.6331), Hg at (0.0000, 0.5000, 0.1093), H at (0.0000, 0.0000, 0.5000) and H at (0.0000, 0.5000, 0.7500).

Computed, not measured: an optimized crystal structure of Ti3HgH at the GGA-PBE level of DFT.

The offset from the most stable computed form comes out at 0.31 eV/f.u. As for the final energy: -112.518 eV/cell.

It has space group C222_1 (No. 20), with a = 6.2089 Å, b = 9.7081 Å, c = 4.8384 Å, α = 90.00°, β = 90.00° and γ = 90.00°. The inequivalent atoms are Ti at (0.0000, 0.1392, 0.2500), Ti at (0.2246, 0.4077, 0.2524), Hg at (0.0000, 0.3264, 0.7500) and H at (0.0937, 0.0000, 0.5000).

Computed, not measured: an optimized crystal structure of Ti3HgH at the GGA-PBE level of DFT.

The offset from the most stable computed form comes out at 0.66 eV/f.u. As for the final energy: -166.671 eV/cell.

It has space group R-3c (No. 167, hexagonal axes), with a = 7.3372 Å, b = 7.3372 Å, c = 9.3795 Å, α = 90.00°, β = 90.00° and γ = 120.00°. The inequivalent atoms are Ti at (0.0000, 0.2479, 0.2500), Hg at (0.0000, 0.0000, 0.0000) and H at (0.0000, 0.0000, 0.2500).

Computed, not measured: an optimized crystal structure of Ti3HgH at the GGA-PBE level of DFT.

The offset from the most stable computed form comes out at 0.95 eV/f.u. As for the final energy: -54.976 eV/cell.

It has space group P6_3/mmc (No. 194), with a = 3.0918 Å, b = 3.0918 Å, c = 18.5152 Å, α = 90.00°, β = 90.00° and γ = 120.00°. The inequivalent atoms are Ti at (0.0000, 0.0000, 0.2500), Ti at (0.3333, 0.6667, 0.1298), Hg at (0.0000, 0.0000, 0.0000) and H at (0.3333, 0.6667, 0.2500).

Computed, not measured: an optimized crystal structure of Ti2HgH2 at the GGA-PBE level of DFT.

As for the final energy: -48.709 eV/cell.

It has space group I4/mmm (No. 139), with a = 3.4947 Å, b = 3.4947 Å, c = 9.5225 Å, α = 90.00°, β = 90.00° and γ = 90.00°. The inequivalent atoms are Ti at (0.0000, 0.0000, 0.1669), Hg at (0.0000, 0.0000, 0.5000) and H at (0.0000, 0.5000, 0.2500).

Computed, not measured: an optimized crystal structure of Ti3HgH at the GGA-PBE level of DFT.

The offset from the most stable computed form comes out at 1.23 eV/f.u. As for the final energy: -108.835 eV/cell.

It has space group Cmcm (No. 63), with a = 5.2907 Å, b = 9.9872 Å, c = 5.7838 Å, α = 90.00°, β = 90.00° and γ = 90.00°. The inequivalent atoms are Ti at (0.0000, 0.0000, 0.0000), Ti at (0.2493, 0.2446, 0.2500), Hg at (0.0000, 0.4951, 0.2500) and H at (0.0000, 0.1198, 0.7500).

Computed, not measured: an optimized crystal structure of Ti3HgH at the GGA-PBE level of DFT.

The offset from the most stable computed form comes out at 0.77 eV/f.u. As for the final energy: -110.672 eV/cell.

It has space group Cmcm (No. 63), with a = 8.5263 Å, b = 6.9375 Å, c = 5.0905 Å, α = 90.00°, β = 90.00° and γ = 90.00°. The inequivalent atoms are Ti at (0.0000, 0.0000, 0.0000), Ti at (0.2011, 0.3368, 0.2500), Hg at (0.0000, 0.3546, 0.7500) and H at (0.0000, 0.2046, 0.2500).

Computed, not measured: an optimized crystal structure of TiHgH at the GGA-PBE level of DFT.

The offset from the most stable computed form comes out at 0.45 eV/f.u. As for the final energy: -46.680 eV/cell.

It has space group Cmcm (No. 63), with a = 2.9057 Å, b = 10.6040 Å, c = 5.3308 Å, α = 90.00°, β = 90.00° and γ = 90.00°. The inequivalent atoms are Ti at (0.0000, 0.0000, 0.0000), Hg at (0.0000, 0.2806, 0.2500) and H at (0.0000, 0.4606, 0.7500).

Computed, not measured: an optimized crystal structure of Ti3HgH at the GGA-PBE level of DFT.

The offset from the most stable computed form comes out at 3.23 eV/f.u. As for the final energy: -25.209 eV/cell.

It has space group P4mm (No. 99), with a = 3.7734 Å, b = 3.7734 Å, c = 7.0324 Å, α = 90.00°, β = 90.00° and γ = 90.00°. The inequivalent atoms are Ti at (0.0000, 0.0000, 0.0000), Ti at (0.0000, 0.5000, 0.7195), Hg at (0.0000, 0.0000, 0.3980) and H at (0.5000, 0.5000, 0.6520).

Computed, not measured: an optimized crystal structure of Ti3HgH at the GGA-PBE level of DFT.

The offset from the most stable computed form comes out at 0.46 eV/f.u. As for the final energy: -223.812 eV/cell.

It has space group C2/c (No. 15), with a = 9.4943 Å, b = 13.1474 Å, c = 4.7730 Å, α = 90.00°, β = 92.34° and γ = 90.00°. The inequivalent atoms are Ti at (0.1121, 0.0728, 0.4811), Ti at (0.1155, 0.1978, 0.9724), Ti at (0.1304, 0.3114, 0.4997), Hg at (0.1453, 0.4331, 0.9974), H at (0.0000, 0.0136, 0.7500) and H at (0.0000, 0.2468, 0.2500).

Computed, not measured: an optimized crystal structure of Ti3HgH at the GGA-PBE level of DFT.

The offset from the most stable computed form comes out at 0.55 eV/f.u. As for the final energy: -55.784 eV/cell.

It has space group P2_1/m (No. 11), with a = 3.0197 Å, b = 8.5488 Å, c = 5.8841 Å, α = 90.00°, β = 101.95° and γ = 90.00°. The inequivalent atoms are Ti at (0.0487, 0.0268, 0.2691), Ti at (0.3744, 0.7500, 0.4861), Hg at (0.4299, 0.2500, 0.9572) and H at (0.0560, 0.2500, 0.3321).